No. 1
## Ho2PuTh3Se6 (PBE)

Data for an optimized crystal structure of Ho2PuTh3Se6.

Cell and atoms, written as POSCAR:
```
Ho2PuTh3Se6
1.0
9.196 -2.030 0.000
9.196 2.030 0.000
-2.540 0.000 8.071
Ho Pu Th Se
2 1 3 6
Direct
0.165 0.165 0.332 Ho
0.835 0.835 0.668 Ho
0.500 0.500 0.000 Pu
0.166 0.166 0.836 Th
0.500 0.500 0.500 Th
0.834 0.834 0.164 Th
0.004 0.004 0.244 Se
0.329 0.329 0.425 Se
0.335 0.335 0.904 Se
0.665 0.665 0.096 Se
0.671 0.671 0.575 Se
0.996 0.996 0.756 Se
```

Output
**Formation energy without anion corrections**: -19.2 eV/f.u.
**Volume**: 25.1 Å³ per atom
**VASP energy**: -7.157 eV/atom
**Total magnetization**: 0.43 μB per atom



No. 2
## Pm2SiPt6Pb (PBE)

Data for an optimized crystal structure of Pm2SiPt6Pb.

Cell and atoms, written as POSCAR:
```
Pm2SiPt6Pb
1.0
5.578 0.000 0.000
0.000 8.669 0.000
0.000 0.000 8.873
Pm Si Pt Pb
4 2 12 2
Direct
0.250 0.012 0.248 Pm
0.250 0.488 0.248 Pm
0.750 0.512 0.752 Pm
0.750 0.988 0.752 Pm
0.250 0.750 0.729 Si
0.750 0.250 0.271 Si
0.002 0.250 0.501 Pt
0.004 0.750 0.943 Pt
0.250 0.502 0.602 Pt
0.250 0.998 0.602 Pt
0.496 0.750 0.943 Pt
0.498 0.250 0.501 Pt
0.502 0.750 0.499 Pt
0.504 0.250 0.057 Pt
0.750 0.002 0.398 Pt
0.750 0.498 0.398 Pt
0.996 0.250 0.057 Pt
0.998 0.750 0.499 Pt
0.250 0.250 0.795 Pb
0.750 0.750 0.205 Pb
```

Output
**Formation energy without anion corrections**: -7.9 eV/f.u.
**Volume**: 21.5 Å³ per atom
**VASP energy**: -6.278 eV/atom
**Total magnetization**: 0.00 μB per atom



No. 3
## Na12LiAu6 (PBE)

Data for an optimized crystal structure of Na12LiAu6.

Cell and atoms, written as POSCAR:
```
Na12LiAu6
1.0
5.360 3.094 4.585
-5.360 3.094 4.585
0.000 -6.189 4.585
Na Li Au
12 1 6
Direct
0.029 0.915 0.314 Na
0.085 0.686 0.971 Na
0.118 0.472 0.354 Na
0.314 0.029 0.915 Na
0.354 0.118 0.472 Na
0.472 0.354 0.118 Na
0.528 0.646 0.882 Na
0.646 0.882 0.528 Na
0.686 0.971 0.085 Na
0.882 0.528 0.646 Na
0.915 0.314 0.029 Na
0.971 0.085 0.686 Na
0.500 0.500 0.500 Li
0.246 0.389 0.750 Au
0.250 0.754 0.611 Au
0.389 0.750 0.246 Au
0.611 0.250 0.754 Au
0.750 0.246 0.389 Au
0.754 0.611 0.250 Au
```

Output
**Volume**: 24.0 Å³ per atom
**DFT formation energy**: -0.244 eV per atom
**VASP energy**: -2.213 eV/atom
**Total magnetization**: 0.00 μB per atom



No. 4
## Sr3LiRh (PBE)

Data for an optimized crystal structure of Sr3LiRh.

Cell and atoms, written as POSCAR:
```
Sr3LiRh
1.0
4.576 2.642 3.709
-4.576 2.642 3.709
0.000 -5.284 3.709
Sr Li Rh
3 1 1
Direct
0.167 0.167 0.666 Sr
0.167 0.666 0.167 Sr
0.666 0.167 0.167 Sr
0.186 0.186 0.186 Li
0.411 0.411 0.411 Rh
```

Output
**Energy relative to the lowest polymorph listed for this composition**: 506 meV per atom
**Volume**: 53.8 Å³ per atom
**DFT formation energy**: 0.359 eV per atom
**VASP energy**: -2.503 eV/atom
**Total magnetization**: 0.00 μB per atom



No. 5
## Hf2Al2Zn (PBE)

Data for an optimized crystal structure of Hf2Al2Zn.

Cell and atoms, written as POSCAR:
```
Hf2Al2Zn
1.0
4.951 -2.158 0.000
4.951 2.158 0.000
-3.130 0.000 8.502
Hf Al Zn
4 4 2
Direct
0.058 0.058 0.357 Hf
0.167 0.167 0.068 Hf
0.833 0.833 0.932 Hf
0.942 0.942 0.643 Hf
0.369 0.369 0.402 Al
0.476 0.476 0.135 Al
0.524 0.524 0.865 Al
0.631 0.631 0.598 Al
0.259 0.259 0.692 Zn
0.741 0.741 0.308 Zn
```

Output
**Energy relative to the lowest polymorph listed for this composition**: 0 meV per atom
**Volume**: 18.2 Å³ per atom
**DFT formation energy**: -0.331 eV per atom
**VASP energy**: -6.064 eV/atom
**Total magnetization**: 0.00 μB per atom



No. 6
## Tm2PuZrP4 (PBE)

Data for an optimized crystal structure of Tm2PuZrP4.

Cell and atoms, written as POSCAR:
```
Tm2PuZrP4
1.0
6.741 0.000 0.000
0.000 3.902 0.000
-2.230 0.000 6.363
Tm Pu Zr P
2 1 1 4
Direct
0.000 0.000 0.000 Tm
0.000 0.500 0.500 Tm
0.500 0.000 0.500 Pu
0.500 0.500 0.000 Zr
0.255 0.500 0.246 P
0.258 0.000 0.758 P
0.742 0.000 0.242 P
0.745 0.500 0.754 P
```

Output
**Volume**: 20.9 Å³ per atom
**DFT formation energy**: -1.438 eV per atom
**VASP energy**: -8.121 eV/atom
**Total magnetization**: 0.64 μB per atom